Record 1
Material: AcFeP2Os
Method: DFT, GGA-PBE
State: optimized geometry

## Properties
Density of states at the Fermi level ... 0.857 states/eV per atom
SG ... I-4m2, No. 119
Formation energy from the elements ... -0.81 eV/atom

Cell: 3.964 3.964 6.404 Å, 108.03 108.03 90.00°
Atoms (fractional coordinates):
1 Ac 0.000 0.000 0.000
2 P 0.350 0.350 0.700
3 P 0.650 0.650 0.300
4 Os 0.250 0.750 0.500
5 Fe 0.750 0.250 0.500

Record 2
Material: Ba2LiPt
Method: DFT, GGA-PBE
State: optimized geometry

## Properties
Density of states at the Fermi level ... 0.813 states/eV per atom
SG ... Imm2, No. 44
Formation energy from the elements ... -0.32 eV/atom

Cell: 7.394 7.394 7.394 Å, 149.35 137.28 53.49°
Atoms (fractional coordinates):
1 Pt 0.266 0.766 0.500
2 Li 0.409 0.409 0.000
3 Ba 0.763 0.263 0.500
4 Ba 0.062 0.062 0.000

Record 3
Material: VZn2Ge
Method: DFT, GGA-PBE
State: optimized geometry

## Properties
Density of states at the Fermi level ... 0.768 states/eV per atom
SG ... R-3m, No. 166
Formation energy from the elements ... 0.49 eV/atom

Cell: 2.680 2.680 10.796 Å, 82.87 82.87 60.00°
Atoms (fractional coordinates):
1 Ge 0.500 0.500 0.500
2 V 0.000 0.000 0.000
3 Zn 0.083 0.083 0.752
4 Zn 0.917 0.917 0.248

Record 4
Material: RbYCd2
Method: DFT, GGA-PBE
State: optimized geometry

## Properties
Density of states at the Fermi level ... 0.482 states/eV per atom
Energy above the lowest structure with this stoichiometry ... 224 meV per atom
SG ... Fm-3m, No. 225
Formation energy from the elements ... 0.14 eV/atom

Cell: 5.649 5.649 5.649 Å, 60.00 60.00 60.00°
Atoms (fractional coordinates):
1 Y 0.500 0.500 0.500
2 Cd 0.250 0.250 0.250
3 Cd 0.750 0.750 0.750
4 Rb 0.000 0.000 0.000

Record 5
Material: LiLaCd2Ag
Method: DFT, GGA-PBE
State: optimized geometry

## Properties
Density of states at the Fermi level ... 0.959 states/eV per atom
SG ... P4/mmm, No. 123
Formation energy from the elements ... -0.12 eV/atom

Cell: 4.914 4.914 4.896 Å, 90.00 90.00 90.00°
Atoms (fractional coordinates):
1 Cd 0.500 0.000 0.000
2 Cd 0.000 0.500 0.000
3 La 0.500 0.500 0.500
4 Ag 0.000 0.000 0.500
5 Li 0.000 0.000 0.000

Record 6
Material: CsY3Pb
Method: DFT, GGA-PBE
State: optimized geometry

## Properties
Density of states at the Fermi level ... 2.021 states/eV per atom
Energy above the lowest structure with this stoichiometry ... 0 meV per atom
SG ... Pm-3m, No. 221
Formation energy from the elements ... 0.43 eV/atom

Cell: 6.028 6.028 6.028 Å, 90.00 90.00 90.00°
Atoms (fractional coordinates):
1 Y 0.000 0.500 0.000
2 Y 0.500 0.000 0.000
3 Y 0.000 0.000 0.500
4 Cs 0.500 0.500 0.500
5 Pb 0.000 0.000 0.000

Record 7
Material: Ac4Pd5Rh2
Method: DFT, GGA-PBE
State: optimized geometry

## Properties
Density of states at the Fermi level ... 0.542 states/eV per atom
SG ... P2/m, No. 10
Formation energy from the elements ... -0.73 eV/atom

Cell: 4.183 7.338 8.612 Å, 94.53 90.00 90.00°
Atoms (fractional coordinates):
1 Rh 0.000 0.090 0.642
2 Rh 0.000 0.910 0.358
3 Ac 0.500 0.234 0.873
4 Ac 0.500 0.242 0.400
5 Ac 0.500 0.758 0.600
6 Ac 0.500 0.766 0.127
7 Pd 0.000 0.475 0.673
8 Pd 0.000 0.500 0.000
9 Pd 0.000 0.158 0.129
10 Pd 0.000 0.525 0.327
11 Pd 0.000 0.842 0.871

| no. | energy (eV per atom) |
| --- | --- |
| 1 | -7.7353 |
| 2 | -3.2709 |
| 3 | -3.5827 |
| 4 | -2.1779 |
| 5 | -2.4242 |
| 6 | -4.3604 |
| 7 | -5.9254 |